DFT (GGA-PBEsol) results for a relaxed BaPSe2N crystal.

Cell: 3.515 5.343 5.343 Å, 90.00 90.00 90.00°
Element x y z (fractional)
Se 0.000 0.000 0.500
Se 0.000 0.500 0.000
N 0.500 0.000 0.000
Ba 0.500 0.500 0.500
P 0.000 0.000 0.000

Calculated values
- uncorrected formation energy (eV/atom) = -0.30
- magnetic moment (μB per atom) = 0.000
- D(E_F) (states/eV/cell) = 3.5
- energy above the most stable polymorph in this dataset (meV/atom) = 0
- symmetry = P4/mmm